KRe2Ni: PBEsol geometry, SCAN.

abc: 3.6426 3.6426 4.9914
angles: 90.00 90.00 90.00
Closest atoms and distances in Å follow each position.
Fractional coordinates of all 4 atoms:
K1 0.0000 0.0000 0.0000  4 Ni 2.58
Re1 0.0000 0.5000 0.5000  4 Re 2.58
Re2 0.5000 0.0000 0.5000  4 Re 2.58
Ni1 0.5000 0.5000 0.0000  4 K 2.58

Energy relative to the elements, eV/atom: 1.597
Space-group type: P4/mmm (123)
V, A^3/atom: 16.6